Entry 1:
Here is an optimized crystal structure of K2RuW from Alexandria. Energies are from GGA-PBE.

Cell and atoms, written as POSCAR:
```
K2RuW
1.0
7.586 0.000 0.000
0.000 7.586 0.000
0.000 0.000 7.586
K Ru W
8 4 4
direct
0.250 0.250 0.250
0.250 0.250 0.750
0.250 0.750 0.250
0.250 0.750 0.750
0.750 0.250 0.250
0.750 0.250 0.750
0.750 0.750 0.250
0.750 0.750 0.750
0.000 0.000 0.000
0.000 0.500 0.500
0.500 0.000 0.500
0.500 0.500 0.000
0.000 0.000 0.500
0.000 0.500 0.000
0.500 0.000 0.000
0.500 0.500 0.500
```

Calculated values
The formation enthalpy at 0 K comes out at 2.54 eV/atom. The value obtained for the energy above the lowest structure with this stoichiometry is 1757 meV/atom. As for the energy: -3.569 eV per atom. As for the density of states at the Fermi level: 5.68 states/eV per atom. As for the mass density: 5.52 g/cm3.

---

Entry 2:
Here is an optimized crystal structure of KY2Ru from Alexandria. Energies are from GGA-PBE.

Cell and atoms, written as POSCAR:
```
KY2Ru
1.0
3.909 0.000 0.000
0.000 3.909 0.000
0.000 0.000 9.151
K Y Ru
1 2 1
direct
0.000 0.000 0.000
0.000 0.000 0.389
0.500 0.500 0.630
0.500 0.500 0.345
```

Calculated values
The formation enthalpy at 0 K comes out at 0.19 eV/atom. The value obtained for the energy above the lowest structure with this stoichiometry is 200 meV/atom. As for the energy: -5.638 eV per atom. As for the density of states at the Fermi level: 0.93 states/eV per atom. As for the mass density: 3.78 g/cm3.